# 1
Here is a relaxed structure of TaSi2Se from Alexandria. Energies are from PBE-GGA.

Calculated values
Its density of states at the Fermi level is 0.33 states/eV/atom. The value obtained for the total DFT energy (no corrections) is -26.00 eV per cell. The mass density is 6.29 g/cm³. The calculation puts the raw formation energy at 0.047 eV/atom.

Structure (POSCAR):
```
TaSi2Se
1.0
-6.713 -1.868 -6.715
-4.707 -4.270 -7.297
-6.910 -4.553 -5.016
Ta Se Si
1 1 2
Cartesian
-9.298 -5.423 -9.652
-14.253 -8.313 -14.796
-4.472 -2.608 -4.642
-17.800 -10.382 -18.479
```

=====

# 2
Here is a relaxed structure of Ho2GaSi3Pd4 from Alexandria. Energies are from PBE-GGA.

Calculated values
Its density of states at the Fermi level is 0.56 states/eV/atom. The value obtained for the total DFT energy (no corrections) is -57.93 eV per cell. The mass density is 8.61 g/cm³. The calculation puts the raw formation energy at -0.871 eV/atom.

Structure (POSCAR):
```
Ho2GaSi3Pd4
1.0
4.163 0.000 0.000
0.000 4.163 0.000
0.000 0.000 10.122
Pd Si Ga Ho
4 3 1 2
Cartesian
0.000 2.082 3.678
2.082 2.082 0.000
0.000 0.000 0.000
2.082 0.000 6.445
0.000 0.000 5.061
2.082 0.000 8.808
0.000 2.082 1.314
2.082 2.082 5.061
2.082 0.000 2.537
0.000 2.082 7.585
```

=====

# 3
Here is a relaxed structure of B2C3 from Alexandria. Energies are from PBE-GGA.

Calculated values
The formation energy is 0.40 eV per atom. The energy relative to the lowest polymorph listed for this composition comes out at 163.6 meV per atom. Its density of states at the Fermi level is 0.11 states/eV/atom. The value obtained for the total DFT energy (no corrections) is -78.06 eV per cell. The mass density is 2.94 g/cm³.

Structure (POSCAR):
```
B2C3
1.0
2.638 -1.070 3.586
4.110 -1.274 1.565
3.674 4.927 2.179
C B
6 4
Cartesian
4.781 0.675 3.414
8.902 1.582 6.323
5.641 1.907 3.916
2.547 0.200 1.835
1.521 1.000 1.007
7.875 2.382 5.495
6.835 1.329 4.844
4.347 4.527 2.709
6.076 -1.945 4.621
3.587 1.254 2.486
```

=====

# 4
Here is a relaxed structure of CuH6PdPb from Alexandria. Energies are from PBE-GGA.

Calculated values
Its density of states at the Fermi level is 0.24 states/eV/atom. The value obtained for the total DFT energy (no corrections) is -31.83 eV per cell. The mass density is 6.75 g/cm³.

Structure (POSCAR):
```
CuH6PdPb
1.0
4.727 0.002 0.000
2.365 4.094 -0.001
0.000 -0.002 4.871
H Cu Pb Pd
6 1 1 1
Cartesian
4.242 4.089 3.422
5.662 1.629 1.448
3.308 2.471 1.447
3.794 1.628 3.423
6.148 2.472 3.423
5.215 4.089 1.447
4.727 2.730 2.435
2.366 4.091 4.870
2.364 1.365 2.435
```

=====

# 5
Here is a relaxed structure of BeNi2Ir2 from Alexandria. Energies are from PBE-GGA.

Calculated values
The formation energy is 0.14 eV per atom. The energy relative to the lowest polymorph listed for this composition comes out at 0.0 meV per atom. Its density of states at the Fermi level is 1.38 states/eV/atom. The value obtained for the total DFT energy (no corrections) is -64.61 eV per cell. The mass density is 12.99 g/cm³.

Structure (POSCAR):
```
BeNi2Ir2
1.0
5.863 0.000 0.000
0.000 5.863 0.000
0.000 0.000 3.798
Ir Ni Be
4 4 2
Cartesian
2.054 4.985 0.000
3.809 0.878 0.000
4.985 3.809 0.000
0.878 2.054 0.000
0.909 3.840 1.899
3.840 4.954 1.899
4.954 2.023 1.899
2.023 0.909 1.899
2.931 2.931 0.000
0.000 0.000 0.000
```

=====

# 6
Here is a relaxed structure of La2AgTe from Alexandria. Energies are from PBE-GGA.

Calculated values
Its density of states at the Fermi level is 0.69 states/eV/atom. The value obtained for the total DFT energy (no corrections) is -19.11 eV per cell. The mass density is 7.35 g/cm³. The calculation puts the raw formation energy at -0.815 eV/atom.

Structure (POSCAR):
```
La2AgTe
1.0
8.607 0.011 0.023
-3.394 4.206 -0.004
1.819 1.474 3.208
La Ag Te
2 1 1
Cartesian
5.213 0.742 1.615
0.000 0.000 0.000
2.606 2.108 0.010
-0.787 2.840 1.602
```

=====

# 7
Here is a relaxed structure of NaRhC3 from Alexandria. Energies are from PBE-GGA.

Calculated values
The formation energy is 3.85 eV per atom. The energy relative to the lowest polymorph listed for this composition comes out at 1769.6 meV per atom. Its density of states at the Fermi level is 0.60 states/eV/atom. The value obtained for the total DFT energy (no corrections) is -17.11 eV per cell. The mass density is 4.13 g/cm³.

Structure (POSCAR):
```
NaRhC3
1.0
4.021 0.000 0.000
0.000 4.021 0.000
0.000 0.000 4.021
Na Rh C
1 1 3
Cartesian
0.000 0.000 0.000
2.011 2.011 2.011
2.011 0.000 0.000
0.000 0.000 2.011
0.000 2.011 0.000
```

=====

# 8
Here is a relaxed structure of Pu2PaSe6 from Alexandria. Energies are from PBE-GGA.

Calculated values
Its density of states at the Fermi level is 2.23 states/eV/atom. The value obtained for the total DFT energy (no corrections) is -140.32 eV per cell. The mass density is 7.02 g/cm³. The calculation puts the raw formation energy at -1.232 eV/atom.

Structure (POSCAR):
```
Pu2PaSe6
1.0
6.604 0.000 0.000
0.000 6.604 0.000
0.000 0.000 12.939
Se Pu Pa
12 4 2
Cartesian
1.278 5.326 2.102
4.580 4.580 8.571
2.024 2.024 8.571
4.621 4.621 0.000
5.285 1.319 6.470
5.326 1.278 10.837
2.024 2.024 4.368
4.580 4.580 4.368
1.319 5.285 6.470
5.326 1.278 2.102
1.278 5.326 10.837
1.983 1.983 0.000
3.302 3.302 2.154
0.000 0.000 8.623
0.000 0.000 4.316
3.302 3.302 10.786
0.000 0.000 0.000
3.302 3.302 6.470
```

=====

# 9
Here is a relaxed structure of Nd2Si4Os3 from Alexandria. Energies are from PBE-GGA.

Calculated values
The energy relative to the lowest polymorph listed for this composition comes out at 0.0 meV per atom. Its density of states at the Fermi level is 0.56 states/eV/atom. The value obtained for the total DFT energy (no corrections) is -139.51 eV per cell. The mass density is 10.43 g/cm³. The calculation puts the raw formation energy at -0.537 eV/atom.

Structure (POSCAR):
```
Nd2Si4Os3
1.0
-4.011 3.145 2.921
-1.564 -5.670 3.956
7.179 0.443 3.473
Si Nd Os
8 4 6
Cartesian
-0.757 -0.383 2.327
2.563 -1.450 5.080
0.315 -4.856 5.660
-2.762 1.189 3.788
1.288 2.774 4.691
2.361 -1.699 8.023
4.366 -3.271 6.563
-0.959 -0.633 5.271
0.209 -2.917 3.427
1.394 0.835 6.923
3.893 1.049 4.216
-2.289 -3.131 6.134
-2.787 -1.263 3.439
0.945 0.280 3.950
0.659 -2.362 6.400
-1.061 1.852 5.411
0.000 0.000 0.000
2.664 -3.934 4.940
```

=====

# 10
Here is a relaxed structure of Zn2CuSi from Alexandria. Energies are from PBE-GGA.

Calculated values
Its density of states at the Fermi level is 0.10 states/eV/atom. The value obtained for the total DFT energy (no corrections) is -11.70 eV per cell. The mass density is 6.53 g/cm³. The calculation puts the raw formation energy at 0.091 eV/atom.

Structure (POSCAR):
```
Zn2CuSi
1.0
9.336 0.099 0.058
8.928 2.731 0.058
8.928 1.384 2.356
Si Zn Cu
1 2 1
Cartesian
20.395 3.161 1.854
13.761 2.133 1.251
27.028 4.189 2.457
6.798 1.054 0.618
```

=====

# 11
Here is a relaxed structure of CsTa2BiC from Alexandria. Energies are from PBE-GGA.

Calculated values
The formation energy is 2.82 eV per atom. Its density of states at the Fermi level is 1.31 states/eV/atom. The value obtained for the total DFT energy (no corrections) is -23.57 eV per cell. The mass density is 8.22 g/cm³.

Structure (POSCAR):
```
CsTa2BiC
1.0
-1.615 -5.050 -1.205
2.507 0.200 -4.196
4.381 -2.003 2.522
Bi Cs C Ta
1 1 1 2
Cartesian
0.000 0.000 0.000
2.637 -3.427 -1.440
1.253 0.100 -2.098
2.191 -1.001 1.261
-0.807 -2.525 -0.603
```

=====

# 12
Here is a relaxed structure of LiPr2Sn4Pd3 from Alexandria. Energies are from PBE-GGA.

Calculated values
The formation energy is -0.73 eV per atom. Its density of states at the Fermi level is 0.45 states/eV/atom. The value obtained for the total DFT energy (no corrections) is -50.32 eV per cell. The mass density is 7.89 g/cm³.

Structure (POSCAR):
```
LiPr2Sn4Pd3
1.0
4.544 0.000 0.000
0.000 4.544 0.000
0.000 0.000 11.036
Pr Sn Pd Li
2 4 3 1
Cartesian
0.000 2.272 8.201
2.272 0.000 2.836
2.272 2.272 0.000
0.000 0.000 0.000
0.000 2.272 4.078
2.272 0.000 6.959
0.000 0.000 5.518
2.272 0.000 9.584
0.000 2.272 1.453
2.272 2.272 5.518
```